This record from Alexandria via LeMat-Bulk describes an optimized crystal structure of Ac2Ho2Pb. The functional is PBE.

Calculated values
- formation enthalpy at 0 K (eV/atom) = 0.156
- crystal system = tetragonal
- DOS at the Fermi energy (states/eV/cell) = 7.45
- magnetic moment (μB/cell) = 0.00
- total energy (eV per atom) = -4.060

a b c (Å): 4.461 4.461 10.226
angles (deg): 102.60 102.60 90.00
Fractional positions:
Ac 0.410 0.410 0.820
Ac 0.590 0.590 0.180
Ho 0.750 0.250 0.500
Ho 0.250 0.750 0.500
Pb 0.000 0.000 0.000

***

This record from Alexandria via LeMat-Bulk describes an optimized crystal structure of Ac2HoPb. The functional is PBE.

Calculated values
- formation enthalpy at 0 K (eV/atom) = -0.181
- crystal system = tetragonal
- DOS at the Fermi energy (states/eV/cell) = 4.52
- magnetic moment (μB/cell) = 0.00
- distance to the lowest polymorph of the same formula (meV/atom) = 35
- total energy (eV per atom) = -4.307

a b c (Å): 4.487 4.487 7.330
angles (deg): 90.00 90.00 90.00
Fractional positions:
Pb 0.500 0.500 0.000
Ac 0.000 0.000 0.765
Ac 0.000 0.000 0.235
Ho 0.500 0.500 0.500

***

This record from Alexandria via LeMat-Bulk describes an optimized crystal structure of Ac3HoPb3. The functional is PBE.

Calculated values
- formation enthalpy at 0 K (eV/atom) = -0.332
- crystal system = monoclinic
- DOS at the Fermi energy (states/eV/cell) = 9.82
- magnetic moment (μB/cell) = 0.00
- total energy (eV per atom) = -4.336

a b c (Å): 8.279 8.279 8.770
angles (deg): 92.47 92.47 112.46
Fractional positions:
Ac 0.606 0.606 0.338
Ac 0.162 0.838 0.500
Ac 0.838 0.162 0.500
Ac 0.236 0.764 0.000
Ac 0.764 0.236 0.000
Ac 0.394 0.394 0.662
Ho 0.759 0.759 0.904
Ho 0.241 0.241 0.096
Pb 0.932 0.932 0.210
Pb 0.865 0.517 0.705
Pb 0.517 0.865 0.705
Pb 0.135 0.483 0.295
Pb 0.483 0.135 0.295
Pb 0.068 0.068 0.790

***

This record from Alexandria via LeMat-Bulk describes an optimized crystal structure of AcHoPb2. The functional is PBE.

Calculated values
- formation enthalpy at 0 K (eV/atom) = -0.334
- crystal system = trigonal
- DOS at the Fermi energy (states/eV/cell) = 3.33
- magnetic moment (μB/cell) = 0.00
- total energy (eV per atom) = -4.360

a b c (Å): 4.895 4.895 7.711
angles (deg): 71.49 71.49 60.00
Fractional positions:
Ac 0.671 0.671 0.988
Ho 0.495 0.495 0.514
Pb 0.094 0.094 0.719
Pb 0.240 0.240 0.279

***

This record from Alexandria via LeMat-Bulk describes an optimized crystal structure of AcHoPb. The functional is PBE.

Calculated values
- formation enthalpy at 0 K (eV/atom) = -0.452
- crystal system = tetragonal
- DOS at the Fermi energy (states/eV/cell) = 5.90
- magnetic moment (μB/cell) = 1.47
- distance to the lowest polymorph of the same formula (meV/atom) = 0
- total energy (eV per atom) = -4.584

a b c (Å): 9.587 9.588 4.842
angles (deg): 75.37 75.38 29.25
Each line ends with the local moment (μB).
Fractional positions:
Ac 0.324 0.324 0.676  0.14
Ac 0.676 0.676 0.324  0.14
Ho 0.500 0.500 0.000  0.17
Ho 0.000 0.000 0.500  0.17
Pb 0.875 0.875 0.125  -0.01
Pb 0.125 0.125 0.875  -0.01

***

This record from Alexandria via LeMat-Bulk describes an optimized crystal structure of Ac3HoPb12. The functional is PBE.

Calculated values
- formation enthalpy at 0 K (eV/atom) = -0.377
- crystal system = tetragonal
- DOS at the Fermi energy (states/eV/cell) = 6.70
- magnetic moment (μB/cell) = 0.00
- total energy (eV per atom) = -4.214

a b c (Å): 5.043 5.043 19.868
angles (deg): 90.00 90.00 90.00
Fractional positions:
Ac 0.000 0.000 0.244
Ac 0.000 0.000 0.500
Ac 0.000 0.000 0.756
Ho 0.000 0.000 0.000
Pb 0.500 0.500 0.000
Pb 0.500 0.500 0.245
Pb 0.500 0.500 0.500
Pb 0.500 0.500 0.755
Pb 0.500 0.000 0.116
Pb 0.500 0.000 0.372
Pb 0.500 0.000 0.628
Pb 0.500 0.000 0.884
Pb 0.000 0.500 0.116
Pb 0.000 0.500 0.372
Pb 0.000 0.500 0.628
Pb 0.000 0.500 0.884

***

This record from Alexandria via LeMat-Bulk describes an optimized crystal structure of AcHoPb2. The functional is PBE.

Calculated values
- formation enthalpy at 0 K (eV/atom) = -0.412
- crystal system = orthorhombic
- DOS at the Fermi energy (states/eV/cell) = 13.07
- magnetic moment (μB/cell) = 0.00
- total energy (eV per atom) = -4.438

a b c (Å): 4.629 9.150 12.879
angles (deg): 90.00 90.00 90.00
Fractional positions:
Ac 0.750 0.632 0.646
Ac 0.250 0.868 0.146
Ac 0.250 0.368 0.354
Ac 0.750 0.132 0.854
Ho 0.750 0.976 0.398
Ho 0.250 0.524 0.898
Ho 0.250 0.024 0.602
Ho 0.750 0.476 0.102
Pb 0.750 0.254 0.540
Pb 0.250 0.246 0.040
Pb 0.250 0.746 0.460
Pb 0.750 0.754 0.960
Pb 0.750 0.654 0.299
Pb 0.250 0.846 0.799
Pb 0.250 0.346 0.701
Pb 0.750 0.154 0.201

***

This record from Alexandria via LeMat-Bulk describes an optimized crystal structure of Ac2Ho3Pb4. The functional is PBE.

Calculated values
- formation enthalpy at 0 K (eV/atom) = -0.500
- crystal system = orthorhombic
- DOS at the Fermi energy (states/eV/cell) = 9.03
- magnetic moment (μB/cell) = 0.00
- total energy (eV per atom) = -4.587

a b c (Å): 7.276 9.153 9.632
angles (deg): 90.00 112.19 90.00
Fractional positions:
Ac 0.111 0.588 0.223
Ac 0.889 0.412 0.777
Ac 0.389 0.088 0.777
Ac 0.611 0.912 0.223
Ho 0.000 0.000 0.000
Ho 0.500 0.500 0.000
Ho 0.541 0.750 0.583
Ho 0.959 0.250 0.417
Ho 0.459 0.250 0.417
Ho 0.041 0.750 0.583
Pb 0.713 0.750 0.927
Pb 0.787 0.250 0.073
Pb 0.287 0.250 0.073
Pb 0.213 0.750 0.927
Pb 0.187 0.948 0.374
Pb 0.813 0.052 0.626
Pb 0.313 0.448 0.626
Pb 0.687 0.552 0.374

***

This record from Alexandria via LeMat-Bulk describes an optimized crystal structure of Ac2HoPb. The functional is PBE.

Calculated values
- formation enthalpy at 0 K (eV/atom) = -0.216
- crystal system = tetragonal
- DOS at the Fermi energy (states/eV/cell) = 5.38
- magnetic moment (μB/cell) = 0.00
- distance to the lowest polymorph of the same formula (meV/atom) = 0
- total energy (eV per atom) = -4.342

a b c (Å): 5.160 5.232 5.232
angles (deg): 90.00 90.00 90.00
Fractional positions:
Pb 0.500 0.000 0.000
Ac 0.000 0.000 0.500
Ac 0.000 0.500 0.000
Ho 0.500 0.500 0.500

***

This record from Alexandria via LeMat-Bulk describes an optimized crystal structure of Ac2HoPb2. The functional is PBE.

Calculated values
- formation enthalpy at 0 K (eV/atom) = -0.440
- crystal system = orthorhombic
- DOS at the Fermi energy (states/eV/cell) = 7.22
- magnetic moment (μB/cell) = 0.00
- distance to the lowest polymorph of the same formula (meV/atom) = 60
- total energy (eV per atom) = -4.482

a b c (Å): 5.333 7.017 10.095
angles (deg): 90.00 105.32 90.00
Fractional positions:
Ac 0.000 0.727 0.999
Ac 0.803 0.476 0.606
Ac 0.197 0.976 0.394
Ac 0.000 0.227 0.001
Ho 0.399 0.978 0.798
Ho 0.601 0.478 0.202
Pb 0.424 0.477 0.848
Pb 0.820 0.976 0.640
Pb 0.180 0.476 0.360
Pb 0.576 0.977 0.152

***

Please write out number 8 again, unchanged.
This record from Alexandria via LeMat-Bulk describes an optimized crystal structure of Ac2Ho3Pb4. The functional is PBE.

Calculated values
- formation enthalpy at 0 K (eV/atom) = -0.500
- crystal system = orthorhombic
- DOS at the Fermi energy (states/eV/cell) = 9.03
- magnetic moment (μB/cell) = 0.00
- total energy (eV per atom) = -4.587

a b c (Å): 7.276 9.153 9.632
angles (deg): 90.00 112.19 90.00
Fractional positions:
Ac 0.111 0.588 0.223
Ac 0.889 0.412 0.777
Ac 0.389 0.088 0.777
Ac 0.611 0.912 0.223
Ho 0.000 0.000 0.000
Ho 0.500 0.500 0.000
Ho 0.541 0.750 0.583
Ho 0.959 0.250 0.417
Ho 0.459 0.250 0.417
Ho 0.041 0.750 0.583
Pb 0.713 0.750 0.927
Pb 0.787 0.250 0.073
Pb 0.287 0.250 0.073
Pb 0.213 0.750 0.927
Pb 0.187 0.948 0.374
Pb 0.813 0.052 0.626
Pb 0.313 0.448 0.626
Pb 0.687 0.552 0.374

***

- What is the formation enthalpy at 0 K in the third record?
  -0.332 eV/atom

***

- formation enthalpy at 0 K of number 1 (Ac2Ho2Pb)?
  0.156 eV/atom

***

- total energy of number 9 (Ac2HoPb)?
  -4.342 eV per atom